Te2AuBr | GGA-PBEsol | optimized geometry

Values from the calculation:
Final energy ... -13.48 eV/cell

a = 4.651 Å, b = 4.029 Å, c = 6.377 Å
α = 90.00°, β = 111.31°, γ = 90.00°
Space group P2/m (No. 10)
Symmetry-distinct sites (fractional):
Te 0.215 0.000 0.322 (multiplicity 2)
Au 0.000 0.500 0.500 (multiplicity 1)
Br 0.500 0.500 0.000 (multiplicity 1)

=====

TeAuBr2 | GGA-PBEsol | optimized geometry

Values from the calculation:
Final energy ... -34.23 eV/cell

a = 3.9657 Å, b = 3.9657 Å, c = 23.1049 Å
α = 90.00°, β = 90.00°, γ = 120.00°
Space group R3m (No. 160, hexagonal axes)
Symmetry-distinct sites (fractional):
Te 0.0000 0.0000 0.0000 (multiplicity 3)
Au 0.0000 0.0000 0.2683 (multiplicity 3)
Br 0.0000 0.0000 0.5339 (multiplicity 3)
Br 0.0000 0.0000 0.7550 (multiplicity 3)

=====

Te2AuBr | GGA-PBEsol | optimized geometry

Values from the calculation:
Final energy ... -12.31 eV/cell

a = 3.645 Å, b = 3.645 Å, c = 7.588 Å
α = 90.00°, β = 90.00°, γ = 90.00°
Space group P4/mmm (No. 123)
Symmetry-distinct sites (fractional):
Te 0.000 0.000 0.190 (multiplicity 2)
Au 0.500 0.500 0.000 (multiplicity 1)
Br 0.500 0.500 0.500 (multiplicity 1)

=====

TiAu2Br2 | GGA-PBEsol | optimized geometry

Values from the calculation:
Final energy ... -40.38 eV/cell

a = 3.561 Å, b = 3.561 Å, c = 19.281 Å
α = 90.00°, β = 90.00°, γ = 90.00°
Space group I4/mmm (No. 139)
Symmetry-distinct sites (fractional):
Ti 0.000 0.000 0.000 (multiplicity 2)
Au 0.000 0.500 0.250 (multiplicity 4)
Br 0.000 0.000 0.419 (multiplicity 4)

=====

Tl2AuBr | GGA-PBEsol | optimized geometry

Values from the calculation:
Final energy ... -24.10 eV/cell

a = 7.493 Å, b = 4.303 Å, c = 7.494 Å
α = 90.00°, β = 109.22°, γ = 90.00°
Space group C2/m (No. 12)
Symmetry-distinct sites (fractional):
Tl 0.238 0.000 0.215 (multiplicity 4)
Au 0.000 0.500 0.000 (multiplicity 2)
Br 0.000 0.000 0.500 (multiplicity 2)

=====

Tl2AuBr | GGA-PBEsol | optimized geometry

Values from the calculation:
Final energy ... -23.79 eV/cell

a = 5.280 Å, b = 5.290 Å, c = 7.473 Å
α = 90.00°, β = 90.00°, γ = 90.00°
Space group Immm (No. 71)
Symmetry-distinct sites (fractional):
Tl 0.000 0.000 0.249 (multiplicity 4)
Au 0.000 0.500 0.500 (multiplicity 2)
Br 0.000 0.500 0.000 (multiplicity 2)

=====

Tl2AuBr | GGA-PBEsol | optimized geometry

Values from the calculation:
Final energy ... -23.96 eV/cell

a = 4.877 Å, b = 3.828 Å, c = 11.631 Å
α = 90.00°, β = 90.00°, γ = 90.00°
Space group Amm2 (No. 38)
Symmetry-distinct sites (fractional):
Tl 0.000 0.000 0.000 (multiplicity 2)
Tl 0.500 0.000 0.245 (multiplicity 2)
Au 0.500 0.000 0.499 (multiplicity 2)
Br 0.000 0.000 0.740 (multiplicity 2)

=====

TlAu2Br | GGA-PBEsol | optimized geometry

Values from the calculation:
Final energy ... -36.91 eV/cell

a = 3.9443 Å, b = 3.9443 Å, c = 21.4710 Å
α = 90.00°, β = 90.00°, γ = 120.00°
Space group R3m (No. 160, hexagonal axes)
Symmetry-distinct sites (fractional):
Tl 0.0000 0.0000 0.0000 (multiplicity 3)
Au 0.0000 0.0000 0.4810 (multiplicity 3)
Au 0.0000 0.0000 0.7457 (multiplicity 3)
Br 0.0000 0.0000 0.2229 (multiplicity 3)

=====

TlAu2Br | GGA-PBEsol | optimized geometry

Values from the calculation:
Final energy ... -23.20 eV/cell

a = 4.021 Å, b = 4.021 Å, c = 11.449 Å
α = 90.00°, β = 90.00°, γ = 90.00°
Space group I4/mmm (No. 139)
Symmetry-distinct sites (fractional):
Tl 0.000 0.000 0.000 (multiplicity 2)
Au 0.000 0.500 0.250 (multiplicity 4)
Br 0.000 0.000 0.500 (multiplicity 2)

=====

TlAu2Br | GGA-PBEsol | optimized geometry

Values from the calculation:
Final energy ... -11.85 eV/cell

a = 3.777 Å, b = 5.298 Å, c = 4.512 Å
α = 90.00°, β = 90.42°, γ = 90.00°
Space group P2/m (No. 10)
Symmetry-distinct sites (fractional):
Tl 0.000 0.000 0.000 (multiplicity 1)
Au 0.238 0.500 0.758 (multiplicity 2)
Br 0.500 0.000 0.500 (multiplicity 1)

=====

TlAuBr | GGA-PBEsol | optimized geometry

Values from the calculation:
Final energy ... -33.61 eV/cell

a = 6.872 Å, b = 6.872 Å, c = 6.872 Å
α = 90.00°, β = 90.00°, γ = 90.00°
Space group F-43m (No. 216)
Symmetry-distinct sites (fractional):
Tl 0.000 0.000 0.000 (multiplicity 4)
Au 0.250 0.250 0.750 (multiplicity 4)
Br 0.000 0.000 0.500 (multiplicity 4)

=====

WAu2Br | GGA-PBEsol | optimized geometry

Values from the calculation:
Final energy ... -21.77 eV/cell

a = 2.843 Å, b = 3.039 Å, c = 8.602 Å
α = 90.00°, β = 90.00°, γ = 90.00°
Space group Pmmm (No. 47)
Symmetry-distinct sites (fractional):
W 0.000 0.000 0.000 (multiplicity 1)
Au 0.500 0.500 0.217 (multiplicity 2)
Br 0.500 0.000 0.500 (multiplicity 1)

=====

WAu2Br | GGA-PBEsol | optimized geometry

Values from the calculation:
Final energy ... -19.61 eV/cell

a = 5.254 Å, b = 5.254 Å, c = 2.678 Å
α = 90.00°, β = 90.00°, γ = 90.00°
Space group P4/mmm (No. 123)
Symmetry-distinct sites (fractional):
W 0.000 0.000 0.000 (multiplicity 1)
Au 0.000 0.500 0.500 (multiplicity 2)
Br 0.500 0.500 0.000 (multiplicity 1)

=====

YAu4Br | GGA-PBEsol | optimized geometry

Values from the calculation:
Final energy ... -107.69 eV/cell

a = 7.817 Å, b = 7.817 Å, c = 7.817 Å
α = 90.00°, β = 90.00°, γ = 90.00°
Space group F-43m (No. 216)
Symmetry-distinct sites (fractional):
Y 0.000 0.000 0.000 (multiplicity 4)
Au 0.125 0.125 0.625 (multiplicity 16)
Br 0.250 0.250 0.250 (multiplicity 4)

=====

YAuBr | GGA-PBEsol | optimized geometry

Values from the calculation:
Final energy ... -14.85 eV/cell

a = 4.7889 Å, b = 4.7889 Å, c = 3.5714 Å
α = 90.00°, β = 90.00°, γ = 120.00°
Space group P3m1 (No. 156)
Symmetry-distinct sites (fractional):
Y 0.0000 0.0000 0.0000 (multiplicity 1)
Au 0.3333 0.6667 0.5016 (multiplicity 1)
Br 0.6667 0.3333 0.0032 (multiplicity 1)

=====

YAuBr | GGA-PBEsol | optimized geometry

Values from the calculation:
Final energy ... -55.99 eV/cell

a = 6.694 Å, b = 6.694 Å, c = 6.694 Å
α = 90.00°, β = 90.00°, γ = 90.00°
Space group F-43m (No. 216)
Symmetry-distinct sites (fractional):
Y 0.000 0.000 0.000 (multiplicity 4)
Au 0.000 0.000 0.500 (multiplicity 4)
Br 0.250 0.250 0.750 (multiplicity 4)

=====

YAuBr2 | GGA-PBEsol | optimized geometry

Values from the calculation:
Final energy ... -17.41 eV/cell

a = 4.570 Å, b = 4.570 Å, c = 4.287 Å
α = 90.00°, β = 90.00°, γ = 90.00°
Space group P4/mmm (No. 123)
Symmetry-distinct sites (fractional):
Y 0.000 0.000 0.000 (multiplicity 1)
Au 0.500 0.500 0.000 (multiplicity 1)
Br 0.000 0.500 0.500 (multiplicity 2)

=====

YAuBr | GGA-PBEsol | optimized geometry

Values from the calculation:
Final energy ... -30.56 eV/cell

a = 3.466 Å, b = 3.466 Å, c = 12.150 Å
α = 90.00°, β = 90.00°, γ = 90.00°
Space group I4mm (No. 107)
Symmetry-distinct sites (fractional):
Y 0.000 0.000 0.000 (multiplicity 2)
Au 0.000 0.000 0.364 (multiplicity 2)
Br 0.000 0.000 0.644 (multiplicity 2)

=====

ZnAuBr2 | GGA-PBEsol | optimized geometry

Values from the calculation:
Final energy ... -19.60 eV/cell

a = 3.558 Å, b = 5.095 Å, c = 13.285 Å
α = 90.00°, β = 90.00°, γ = 90.00°
Space group Imm2 (No. 44)
Symmetry-distinct sites (fractional):
Zn 0.000 0.000 0.000 (multiplicity 2)
Au 0.000 0.500 0.637 (multiplicity 2)
Br 0.000 0.000 0.618 (multiplicity 2)
Br 0.000 0.500 0.374 (multiplicity 2)

=====

ZnAuBr2 | GGA-PBEsol | optimized geometry

Values from the calculation:
Final energy ... -18.14 eV/cell

a = 3.785 Å, b = 6.621 Å, c = 7.551 Å
α = 90.00°, β = 90.00°, γ = 90.00°
Space group Immm (No. 71)
Symmetry-distinct sites (fractional):
Zn 0.000 0.000 0.000 (multiplicity 2)
Au 0.000 0.000 0.500 (multiplicity 2)
Br 0.000 0.500 0.259 (multiplicity 4)

=====

Zn3AuBr | GGA-PBEsol | optimized geometry

Values from the calculation:
Final energy ... -6.01 eV/cell

a = 4.920 Å, b = 4.920 Å, c = 4.920 Å
α = 90.00°, β = 90.00°, γ = 90.00°
Space group Pm-3m (No. 221)
Symmetry-distinct sites (fractional):
Zn 0.000 0.000 0.500 (multiplicity 3)
Au 0.500 0.500 0.500 (multiplicity 1)
Br 0.000 0.000 0.000 (multiplicity 1)

=====

ZnAu2Br | GGA-PBEsol | optimized geometry

Values from the calculation:
Final energy ... -10.80 eV/cell

a = 3.295 Å, b = 3.295 Å, c = 6.804 Å
α = 90.00°, β = 90.00°, γ = 90.00°
Space group P4/mmm (No. 123)
Symmetry-distinct sites (fractional):
Zn 0.000 0.000 0.000 (multiplicity 1)
Au 0.500 0.500 0.202 (multiplicity 2)
Br 0.000 0.000 0.500 (multiplicity 1)

=====

Zn3AuBr | GGA-PBEsol | optimized geometry

Values from the calculation:
Final energy ... -10.42 eV/cell

a = 4.890 Å, b = 4.890 Å, c = 4.890 Å
α = 90.00°, β = 90.00°, γ = 90.00°
Space group Pm-3m (No. 221)
Symmetry-distinct sites (fractional):
Zn 0.000 0.000 0.500 (multiplicity 3)
Au 0.000 0.000 0.000 (multiplicity 1)
Br 0.500 0.500 0.500 (multiplicity 1)

=====

ZnAu2Br | GGA-PBEsol | optimized geometry

Values from the calculation:
Final energy ... -10.89 eV/cell

a = 3.336 Å, b = 3.336 Å, c = 6.788 Å
α = 90.00°, β = 90.00°, γ = 90.00°
Space group P4mm (No. 99)
Symmetry-distinct sites (fractional):
Zn 0.000 0.000 0.000 (multiplicity 1)
Au 0.000 0.000 0.404 (multiplicity 1)
Au 0.500 0.500 0.179 (multiplicity 1)
Br 0.500 0.500 0.722 (multiplicity 1)

=====

ZrAuBr2 | GGA-PBEsol | optimized geometry

Values from the calculation:
Final energy ... -34.62 eV/cell

a = 4.531 Å, b = 4.531 Å, c = 8.151 Å
α = 90.00°, β = 90.00°, γ = 90.00°
Space group I-4m2 (No. 119)
Symmetry-distinct sites (fractional):
Zr 0.000 0.000 0.000 (multiplicity 2)
Au 0.000 0.500 0.250 (multiplicity 2)
Br 0.000 0.000 0.500 (multiplicity 2)
Br 0.000 0.500 0.750 (multiplicity 2)

=====

Zr4AuBr | GGA-PBEsol | optimized geometry

Values from the calculation:
Final energy ... -160.23 eV/cell

a = 7.988 Å, b = 7.988 Å, c = 7.988 Å
α = 90.00°, β = 90.00°, γ = 90.00°
Space group F-43m (No. 216)
Symmetry-distinct sites (fractional):
Zr 0.123 0.123 0.123 (multiplicity 16)
Au 0.250 0.250 0.750 (multiplicity 4)
Br 0.000 0.000 0.500 (multiplicity 4)

=====

Zr2AuBr | GGA-PBEsol | optimized geometry

Values from the calculation:
Final energy ... -24.79 eV/cell

a = 3.741 Å, b = 4.189 Å, c = 5.130 Å
α = 90.00°, β = 90.00°, γ = 90.00°
Space group Pmmm (No. 47)
Symmetry-distinct sites (fractional):
Zr 0.000 0.000 0.000 (multiplicity 1)
Zr 0.500 0.000 0.500 (multiplicity 1)
Au 0.000 0.500 0.500 (multiplicity 1)
Br 0.500 0.500 0.000 (multiplicity 1)

=====

ZrAuBr2 | GGA-PBEsol | optimized geometry

Values from the calculation:
Final energy ... -37.62 eV/cell

a = 3.203 Å, b = 4.892 Å, c = 12.660 Å
α = 90.00°, β = 90.00°, γ = 90.00°
Space group Imm2 (No. 44)
Symmetry-distinct sites (fractional):
Zr 0.000 0.000 0.000 (multiplicity 2)
Au 0.000 0.500 0.680 (multiplicity 2)
Br 0.000 0.000 0.515 (multiplicity 2)
Br 0.000 0.500 0.326 (multiplicity 2)

=====

Au2C3 | GGA-PBEsol | optimized geometry

Values from the calculation:
DFT formation energy ... 1.3270 eV per atom
Final energy ... -90.43 eV/cell

a = 2.6244 Å, b = 2.6244 Å, c = 34.1043 Å
α = 90.00°, β = 90.00°, γ = 120.00°
Space group R-3m (No. 166, hexagonal axes)
Symmetry-distinct sites (fractional):
Au 0.0000 0.0000 0.1098 (multiplicity 6)
C 0.0000 0.0000 0.3333 (multiplicity 6)
C 0.0000 0.0000 0.5000 (multiplicity 3)

=====

AuC | GGA-PBEsol | optimized geometry

Values from the calculation:
DFT formation energy ... 1.9629 eV per atom
Final energy ... -57.85 eV/cell

a = 3.6029 Å, b = 3.6029 Å, c = 15.7041 Å
α = 90.00°, β = 90.00°, γ = 120.00°
Space group R-3m (No. 166, hexagonal axes)
Symmetry-distinct sites (fractional):
Au 0.0000 0.0000 0.0889 (multiplicity 6)
C 0.0000 0.0000 0.2339 (multiplicity 6)